The following is a DFT calculation (GGA-PBE) of crystalline MgS2NCl at its relaxed geometry.

Lattice parameters (Å, degrees): 4.944 4.944 3.944 90.00 90.00 90.00
Space group P4/mmm (No. 123)
Unique sites:
Mg  0.000  0.000  0.000
S  0.000  0.500  0.000
N  0.000  0.000  0.500
Cl  0.500  0.500  0.500

Offset from the most stable computed form: 677 meV/atom
E_form (uncorrected): 1.118 eV/atom

The following is a DFT calculation (GGA-PBE) of crystalline BaCaAgAu at its relaxed geometry.

Lattice parameters (Å, degrees): 4.877 4.270 11.979 90.00 90.00 90.00
Space group Amm2 (No. 38)
Unique sites:
Ba  0.000  0.000  0.000
Ca  0.500  0.000  0.278
Ag  0.500  0.000  0.582
Au  0.000  0.000  0.723

| no. | total DFT energy (no corrections) (eV/atom) |
| --- | --- |
| 1 | -2.89 |
| 2 | -3.00 |